Entry 1:
VASP calculation (GGA-PBE) on a relaxed structure of Ba2SrNi9.

a = 5.233 Å, b = 5.233 Å, c = 8.973 Å
α = 73.05°, β = 73.05°, γ = 60.00°
Site moments in Bohr magnetons follow the coordinates.
Sites, in units of the cell vectors:
Ni 0.429 0.915 0.227  0.34
Ni 0.429 0.429 0.227  0.34
Ba 0.861 0.861 0.416  -0.04
Ni 0.915 0.429 0.227  0.34
Ni 0.571 0.085 0.773  0.34
Ba 0.139 0.139 0.584  -0.04
Ni 0.331 0.331 0.007  0.47
Ni 0.500 0.500 0.500  0.14
Sr 0.000 0.000 0.000  -0.03
Ni 0.085 0.571 0.773  0.34
Ni 0.669 0.669 0.993  0.47
Ni 0.571 0.571 0.773  0.34

Calculated values
ΔH_f (0 K)	77.6	meV per atom
calculated volume	200	Å³ per cell
total moment	2.68	μB/cell
DOS at the Fermi energy	1.1056	states/eV per atom

=====

Entry 2:
VASP calculation (GGA-PBE) on a relaxed structure of BaSrNi2.

a = 4.337 Å, b = 4.389 Å, c = 6.178 Å
α = 90.00°, β = 90.00°, γ = 90.00°
Site moments in Bohr magnetons follow the coordinates.
Sites, in units of the cell vectors:
Ba 0.500 0.500 0.870  -0.01
Sr 0.000 0.000 0.381  -0.01
Ni 0.000 0.000 0.886  0.14
Ni 0.500 0.500 0.363  0.17

Calculated values
ΔH_f (0 K)	348.2	meV per atom
calculated volume	118	Å³ per cell
total moment	0.24	μB/cell
energy relative to the lowest polymorph listed for this composition	335	meV per atom
DOS at the Fermi energy	2.3869	states/eV per atom

=====

Entry 3:
VASP calculation (GGA-PBE) on a relaxed structure of Ba2SrNi.

a = 3.963 Å, b = 3.963 Å, c = 10.711 Å
α = 90.00°, β = 90.00°, γ = 89.01°
Sites, in units of the cell vectors:
Ba 0.000 0.000 0.082
Sr 0.500 0.500 0.750
Ba 0.000 0.000 0.418
Ni 0.500 0.500 0.250

Calculated values
ΔH_f (0 K)	116.4	meV per atom
calculated volume	168	Å³ per cell
total moment	0.00	μB/cell
energy relative to the lowest polymorph listed for this composition	129	meV per atom
DOS at the Fermi energy	1.2614	states/eV per atom

=====

Entry 4:
VASP calculation (GGA-PBE) on a relaxed structure of Ba2SrNi.

a = 5.402 Å, b = 5.781 Å, c = 5.081 Å
α = 90.00°, β = 90.00°, γ = 90.00°
Sites, in units of the cell vectors:
Ba 0.000 0.000 0.000
Ni 0.500 0.000 0.500
Sr 0.000 0.500 0.500
Ba 0.500 0.500 0.000

Calculated values
ΔH_f (0 K)	406.0	meV per atom
calculated volume	159	Å³ per cell
total moment	0.00	μB/cell
energy relative to the lowest polymorph listed for this composition	418	meV per atom
DOS at the Fermi energy	1.3271	states/eV per atom

=====

Entry 5:
VASP calculation (GGA-PBE) on a relaxed structure of BaSr2Ni2.

a = 5.386 Å, b = 5.386 Å, c = 6.950 Å
α = 67.20°, β = 67.20°, γ = 90.00°
Sites, in units of the cell vectors:
Sr 0.335 0.335 0.330
Ni 0.750 0.250 0.500
Sr 0.665 0.665 0.670
Ni 0.250 0.750 0.500
Ba 0.000 0.000 0.000

Calculated values
ΔH_f (0 K)	281.4	meV per atom
calculated volume	169	Å³ per cell
total moment	0.00	μB/cell
energy relative to the lowest polymorph listed for this composition	208	meV per atom
DOS at the Fermi energy	0.3339	states/eV per atom

=====

Entry 6:
VASP calculation (GGA-PBE) on a relaxed structure of BaSrNi.

a = 5.711 Å, b = 5.711 Å, c = 8.035 Å
α = 100.58°, β = 113.60°, γ = 100.27°
Sites, in units of the cell vectors:
Ba 0.747 0.333 0.080
Sr 0.000 0.000 0.500
Ba 0.253 0.667 0.920
Ni 0.134 0.028 0.162
Sr 0.500 0.500 0.500
Ni 0.866 0.972 0.838

Calculated values
ΔH_f (0 K)	243.1	meV per atom
calculated volume	227	Å³ per cell
total moment	0.00	μB/cell
energy relative to the lowest polymorph listed for this composition	270	meV per atom
DOS at the Fermi energy	1.0709	states/eV per atom

=====

Entry 7:
VASP calculation (GGA-PBE) on a relaxed structure of Ba2SrNi.

a = 7.579 Å, b = 7.579 Å, c = 7.579 Å
α = 149.14°, β = 130.78°, γ = 59.23°
Sites, in units of the cell vectors:
Ba 0.421 0.421 0.000
Ni 0.250 0.750 0.500
Sr 0.750 0.250 0.500
Ba 0.079 0.079 0.000

Calculated values
ΔH_f (0 K)	133.6	meV per atom
calculated volume	168	Å³ per cell
total moment	0.00	μB/cell
energy relative to the lowest polymorph listed for this composition	146	meV per atom
DOS at the Fermi energy	0.8944	states/eV per atom

=====

Entry 8:
VASP calculation (GGA-PBE) on a relaxed structure of Ba2SrNi.

a = 3.928 Å, b = 3.928 Å, c = 10.810 Å
α = 90.00°, β = 90.00°, γ = 90.00°
Sites, in units of the cell vectors:
Ni 0.000 0.000 0.506
Ba 0.000 0.000 0.991
Ba 0.500 0.500 0.337
Sr 0.500 0.500 0.666

Calculated values
ΔH_f (0 K)	120.3	meV per atom
calculated volume	167	Å³ per cell
total moment	0.00	μB/cell
energy relative to the lowest polymorph listed for this composition	133	meV per atom
DOS at the Fermi energy	1.0389	states/eV per atom

=====

Entry 9:
VASP calculation (GGA-PBE) on a relaxed structure of Ba2SrNi.

a = 11.308 Å, b = 11.308 Å, c = 11.308 Å
α = 22.59°, β = 22.59°, γ = 22.59°
Sites, in units of the cell vectors:
Ba 0.531 0.531 0.531
Ba 0.969 0.969 0.969
Ni 0.250 0.250 0.250
Sr 0.750 0.750 0.750

Calculated values
ΔH_f (0 K)	57.2	meV per atom
calculated volume	187	Å³ per cell
total moment	0.00	μB/cell
energy relative to the lowest polymorph listed for this composition	70	meV per atom
DOS at the Fermi energy	0.7194	states/eV per atom

=====

Entry 10:
VASP calculation (GGA-PBE) on a relaxed structure of BaSrNi2.

a = 8.052 Å, b = 8.052 Å, c = 8.052 Å
α = 149.76°, β = 149.15°, γ = 43.74°
Sites, in units of the cell vectors:
Sr 0.488 0.488 0.000
Ni 0.906 0.906 0.000
Ni 0.851 0.351 0.500
Ba 0.255 0.755 0.500

Calculated values
ΔH_f (0 K)	57.0	meV per atom
calculated volume	134	Å³ per cell
total moment	0.00	μB/cell
energy relative to the lowest polymorph listed for this composition	44	meV per atom
DOS at the Fermi energy	0.6907	states/eV per atom

=====

Entry 11:
VASP calculation (GGA-PBE) on a relaxed structure of BaSr2Ni.

a = 5.958 Å, b = 5.958 Å, c = 5.958 Å
α = 60.00°, β = 60.00°, γ = 60.00°
Sites, in units of the cell vectors:
Ba 0.500 0.500 0.500
Ni 0.750 0.750 0.750
Sr 0.250 0.250 0.250
Sr 0.000 0.000 0.000

Calculated values
ΔH_f (0 K)	435.5	meV per atom
calculated volume	150	Å³ per cell
total moment	0.00	μB/cell
energy relative to the lowest polymorph listed for this composition	441	meV per atom
DOS at the Fermi energy	1.6148	states/eV per atom

=====

Entry 12:
VASP calculation (GGA-PBE) on a relaxed structure of Ba4Sr2Ni.

a = 6.115 Å, b = 6.115 Å, c = 11.567 Å
α = 74.67°, β = 74.67°, γ = 90.00°
Sites, in units of the cell vectors:
Sr 0.340 0.340 0.320
Ba 0.857 0.857 0.286
Sr 0.660 0.660 0.680
Ba 0.500 0.000 0.000
Ba 0.143 0.143 0.714
Ba 0.000 0.500 0.000
Ni 0.000 0.000 0.000

Calculated values
ΔH_f (0 K)	119.5	meV per atom
calculated volume	401	Å³ per cell
total moment	0.00	μB/cell
DOS at the Fermi energy	1.2201	states/eV per atom

=====

Entry 13:
VASP calculation (GGA-PBE) on a relaxed structure of BaSrNi2.

a = 5.096 Å, b = 5.096 Å, c = 5.096 Å
α = 60.00°, β = 60.00°, γ = 60.00°
Sites, in units of the cell vectors:
Ba 0.500 0.500 0.500
Sr 0.750 0.750 0.750
Ni 0.000 0.000 0.000
Ni 0.250 0.250 0.250

Calculated values
ΔH_f (0 K)	504.1	meV per atom
calculated volume	94	Å³ per cell
total moment	0.00	μB/cell
energy relative to the lowest polymorph listed for this composition	491	meV per atom
DOS at the Fermi energy	0.3822	states/eV per atom

=====

Entry 14:
VASP calculation (GGA-PBE) on a relaxed structure of Ba2SrNi.

a = 6.934 Å, b = 6.934 Å, c = 6.934 Å
α = 136.33°, β = 136.33°, γ = 63.47°
Sites, in units of the cell vectors:
Ba 0.000 0.000 0.000
Sr 0.750 0.250 0.500
Ba 0.500 0.500 0.000
Ni 0.250 0.750 0.500

Calculated values
ΔH_f (0 K)	441.7	meV per atom
calculated volume	157	Å³ per cell
total moment	0.00	μB/cell
energy relative to the lowest polymorph listed for this composition	454	meV per atom
DOS at the Fermi energy	1.2123	states/eV per atom